No. 1
Compound: HoEr4Sc5
Source: the Alexandria database
Functional: PBE
Structure: optimized geometry Values from VASP.

E above lowest polymorph: 45 meV per atom
DOS(E_F): 16.36 states/eV per cell
raw total energy: -5.1465 eV per atom
energy of formation: 0.302 eV/atom
V: 282.71 Å³/cell

Structure (Quantum ESPRESSO input):
```
&SYSTEM
  ibrav = 0, nat = 10, ntyp = 3
/
ATOMIC_SPECIES
Ho 164.93 Ho.upf
Er 167.26 Er.upf
Sc 44.96 Sc.upf
CELL_PARAMETERS angstrom
-4.8441 4.8441 3.0120
4.8441 -4.8441 3.0120
4.8441 4.8441 -3.0120
ATOMIC_POSITIONS crystal
Ho 0.0000 0.0000 0.0000
Er 0.1760 0.8820 0.6090
Er 0.2731 0.5671 0.3910
Er 0.5671 0.1760 0.2940
Er 0.8820 0.2731 0.7060
Sc 0.4630 0.4630 0.0000
Sc 0.4903 0.8618 0.9149
Sc 0.5754 0.4903 0.6285
Sc 0.8618 0.9469 0.3715
Sc 0.9469 0.5754 0.0851
```



No. 2
Compound: Y2AgHRh
Source: the Alexandria database
Functional: PBE
Structure: optimized geometry Values from VASP.

E above lowest polymorph: 101 meV per atom
DOS(E_F): 2.44 states/eV per cell
raw total energy: -5.7487 eV per atom
V: 90.53 Å³/cell

Structure (Quantum ESPRESSO input):
```
&SYSTEM
  ibrav = 0, nat = 5, ntyp = 4
/
ATOMIC_SPECIES
Y 88.91 Y.upf
Ag 107.87 Ag.upf
H 1.01 H.upf
Rh 102.91 Rh.upf
CELL_PARAMETERS angstrom
4.8699 0.0000 0.0000
0.0000 4.8699 0.0000
0.0000 0.0000 3.8173
ATOMIC_POSITIONS crystal
Y 0.0000 0.5000 0.0000
Y 0.5000 0.0000 0.0000
Ag 0.0000 0.0000 0.5000
H 0.0000 0.0000 0.0000
Rh 0.5000 0.5000 0.5000
```



No. 3
Compound: LiMnAsC2
Source: the Alexandria database
Functional: PBE
Structure: optimized geometry Values from VASP.

DOS(E_F): 4.97 states/eV per cell
raw total energy: -4.4799 eV per atom
energy of formation: 2.356 eV/atom
V: 66.03 Å³/cell

Structure (Quantum ESPRESSO input):
```
&SYSTEM
  ibrav = 0, nat = 5, ntyp = 4
/
ATOMIC_SPECIES
Li 6.94 Li.upf
Mn 54.94 Mn.upf
As 74.92 As.upf
C 12.01 C.upf
CELL_PARAMETERS angstrom
3.9433 0.0000 0.0000
0.0000 3.9433 0.0000
0.0000 0.0000 4.2465
ATOMIC_POSITIONS crystal
Li 0.0000 0.0000 0.0000
Mn 0.5000 0.5000 0.0000
As 0.0000 0.0000 0.5000
C 0.0000 0.5000 0.5000
C 0.5000 0.0000 0.5000
```



No. 4
Compound: Hg3SbRu
Source: the Alexandria database
Functional: PBE
Structure: optimized geometry Values from VASP.

E above lowest polymorph: 0 meV per atom
DOS(E_F): 4.43 states/eV per cell
raw total energy: -2.0958 eV per atom
V: 142.77 Å³/cell

Structure (Quantum ESPRESSO input):
```
&SYSTEM
  ibrav = 0, nat = 5, ntyp = 3
/
ATOMIC_SPECIES
Hg 200.59 Hg.upf
Sb 121.76 Sb.upf
Ru 101.07 Ru.upf
CELL_PARAMETERS angstrom
5.2265 0.0000 0.0000
0.0000 5.2265 0.0000
0.0000 0.0000 5.2265
ATOMIC_POSITIONS crystal
Hg 0.0000 0.0000 0.5000
Hg 0.0000 0.5000 0.0000
Hg 0.5000 0.0000 0.0000
Sb 0.5000 0.5000 0.5000
Ru 0.0000 0.0000 0.0000
```



Short version: calculated density = 6.2; 7.1; 4.0; 9.6 g/cm³, in the order given.